# PrNpNiO6 (GGA+U, optimized geometry)
data_PrNpNiO6
_chemical_formula_sum 'Pr2 Np2 Ni2 O12'
_symmetry_space_group_name_H-M 'P 1'
_symmetry_Int_Tables_number 1
_symmetry_space_group_name_Hall 'P 1'
_cell_length_a 5.3469
_cell_length_b 5.3469
_cell_length_c 10.4726
_cell_angle_alpha 90.00
_cell_angle_beta 90.00
_cell_angle_gamma 120.00
loop_
_atom_site_label
_atom_site_type_symbol
_atom_site_fract_x
_atom_site_fract_y
_atom_site_fract_z
Pr1 Pr 0.0000 0.0000 0.0000
Pr2 Pr 0.0000 0.0000 0.5000
Np1 Np 0.3333 0.6667 0.2500
Np2 Np 0.6667 0.3333 0.7500
Ni1 Ni 0.3333 0.6667 0.7500
Ni2 Ni 0.6667 0.3333 0.2500
O1 O 0.0094 0.3625 0.1417
O2 O 0.0094 0.6469 0.3583
O3 O 0.3531 0.3625 0.3583
O4 O 0.3531 0.9906 0.1417
O5 O 0.3625 0.0094 0.6417
O6 O 0.3625 0.3531 0.8583
O7 O 0.6375 0.6469 0.1417
O8 O 0.6375 0.9906 0.3583
O9 O 0.6469 0.0094 0.8583
O10 O 0.6469 0.6375 0.6417
O11 O 0.9906 0.3531 0.6417
O12 O 0.9906 0.6375 0.8583
# - VASP energy (eV/atom) = -8.0337
# - total magnetic moment (Bohr magnetons per cell) = 4.0